A plane-wave DFT calculation with PBE+U was carried out for a geometry-optimized Ho3Co2B2O3 structure.

```
10
Lattice="-1.696 1.696 10.655 1.696 -1.696 10.655 1.696 1.696 -10.655" Properties=species:S:1:pos:R:3 pbc="T T T"
Ho 0.000 0.000 0.000
Ho 0.000 0.000 7.714
Ho 0.000 0.000 13.597
Co 1.696 0.000 5.328
Co 0.000 1.696 5.328
B 0.000 0.000 4.453
B 0.000 0.000 16.858
O 0.000 0.000 2.191
O 0.000 0.000 10.655
O 0.000 0.000 19.120
```

SG ... I4/mmm, No. 139
E ... -6.87 eV per atom
M_tot ... 0.01 μB per formula unit